[1]
Computed, not measured: crystalline Ho5IrAu4 at its relaxed geometry at the GGA-PBE level of DFT.

abc: 3.5409 3.5409 17.8509
angles: 90.00 90.00 90.00
Last column: nearest neighbours and their distance in Å.
Element x y z (fractional)
Ho (0.0000, 0.0000, 0.0000)  8 Au 3.08
Ho (0.0000, 0.0000, 0.2048)  8 Au 3.07-3.12
Ho (0.0000, 0.0000, 0.4092)  4 Ir 2.98, 4 Au 3.13, 1 Ho 3.24
Ho (0.0000, 0.0000, 0.5908)  4 Ir 2.98, 4 Au 3.13, 1 Ho 3.24
Ho (0.0000, 0.0000, 0.7952)  8 Au 3.07-3.12
Ir (0.5000, 0.5000, 0.5000)  8 Ho 2.98
Au (0.5000, 0.5000, 0.1009)  8 Ho 3.08-3.12
Au (0.5000, 0.5000, 0.3040)  8 Ho 3.07-3.13
Au (0.5000, 0.5000, 0.6960)  8 Ho 3.07-3.13
Au (0.5000, 0.5000, 0.8991)  8 Ho 3.08-3.12

Summary:
* calculated volume: 223.8 Å³/cell
* formation enthalpy at 0 K: -0.87 eV/atom
* electronic total energy: -5.3548 eV per atom
* space-group type: P4/mmm

=====

[2]
Computed, not measured: crystalline InReW at its relaxed geometry at the GGA-PBE level of DFT.

abc: 2.9505 2.9505 6.9246
angles: 90.00 90.00 120.00
Last column: nearest neighbours and their distance in Å.
Element x y z (fractional)
In (0.0000, 0.0000, 0.0000)  6 In 2.95, 3 Re 2.96, 3 W 3.01
Re (0.6667, 0.3333, 0.3503)  3 W 2.64, 6 Re 2.95
W (0.3333, 0.6667, 0.6410)  3 Re 2.64, 6 W 2.95

Summary:
* calculated volume: 52.2 Å³/cell
* formation enthalpy at 0 K: 0.44 eV/atom
* electronic total energy: -8.9420 eV per atom
* space-group type: P3m1

=====

[3]
Computed, not measured: crystalline KMo3 at its relaxed geometry at the GGA-PBE level of DFT.

abc: 6.8614 6.8614 8.3066
angles: 90.00 90.00 120.00
Last column: nearest neighbours and their distance in Å.
Element x y z (fractional)
K (0.0000, 0.0000, 0.0000)  12 Mo 3.25-3.43
K (0.0000, 0.0000, 0.5000)  12 Mo 3.25-3.43
K (0.3333, 0.6667, 0.2500)  6 Mo 2.87
K (0.6667, 0.3333, 0.7500)  6 Mo 2.87
Mo (0.0000, 0.5000, 0.0000)  4 Mo 2.73, 2 K 2.87
Mo (0.0000, 0.5000, 0.5000)  4 Mo 2.73, 2 K 2.87
Mo (0.2107, 0.4213, 0.7500)  6 Mo 2.53-2.73
Mo (0.2107, 0.7893, 0.7500)  6 Mo 2.53-2.73
Mo (0.4213, 0.2107, 0.2500)  6 Mo 2.53-2.73
Mo (0.5000, 0.0000, 0.0000)  4 Mo 2.73, 2 K 2.87
Mo (0.5000, 0.0000, 0.5000)  4 Mo 2.73, 2 K 2.87
Mo (0.5000, 0.5000, 0.0000)  4 Mo 2.73, 2 K 2.87
Mo (0.5000, 0.5000, 0.5000)  4 Mo 2.73, 2 K 2.87
Mo (0.5787, 0.7893, 0.7500)  6 Mo 2.53-2.73
Mo (0.7893, 0.2107, 0.2500)  6 Mo 2.53-2.73
Mo (0.7893, 0.5787, 0.2500)  6 Mo 2.53-2.73

Summary:
* calculated volume: 338.7 Å³/cell
* formation enthalpy at 0 K: 1.60 eV/atom
* electronic total energy: -6.7998 eV per atom
* space-group type: P6_3/mmc

=====

[4]
Computed, not measured: crystalline CaCePrSm at its relaxed geometry at the GGA-PBE level of DFT.

abc: 5.8615 5.8615 5.8615
angles: 60.00 60.00 60.00
Last column: nearest neighbours and their distance in Å.
Element x y z (fractional)
Ca (0.0000, 0.0000, 0.0000)  4 Sm 3.59, 4 Pr 3.59
Ce (0.5000, 0.5000, 0.5000)  4 Pr 3.59, 4 Sm 3.59
Pr (0.7500, 0.7500, 0.7500)  4 Ca 3.59, 4 Ce 3.59
Sm (0.2500, 0.2500, 0.2500)  4 Ce 3.59, 4 Ca 3.59

Summary:
* calculated volume: 142.4 Å³/cell
* formation enthalpy at 0 K: 0.23 eV/atom
* electronic total energy: -4.1259 eV per atom
* space-group type: F-43m

=====

[5]
Computed, not measured: crystalline CdFe2Co2 at its relaxed geometry at the GGA-PBE level of DFT.

abc: 6.9796 6.9796 2.7234
angles: 90.00 90.00 90.00
Last column: nearest neighbours and their distance in Å.
Element x y z (fractional)
Cd (0.0000, 0.0000, 0.0000)  4 Co 2.72, 2 Cd 2.72, 8 Fe 2.97
Cd (0.5000, 0.5000, 0.0000)  4 Co 2.72, 2 Cd 2.72, 8 Fe 2.97
Fe (0.1549, 0.3451, 0.5000)  6 Co 2.44-2.48, 2 Fe 2.72
Fe (0.3451, 0.8451, 0.5000)  6 Co 2.44-2.48, 2 Fe 2.72
Fe (0.6549, 0.1549, 0.5000)  6 Co 2.44-2.48, 2 Fe 2.72
Fe (0.8451, 0.6549, 0.5000)  6 Co 2.44-2.48, 2 Fe 2.72
Co (0.1346, 0.6346, 0.0000)  6 Fe 2.44-2.48, 3 Co 2.66-2.72, 2 Cd 2.72
Co (0.3654, 0.1346, 0.0000)  6 Fe 2.44-2.48, 3 Co 2.66-2.72, 2 Cd 2.72
Co (0.6346, 0.8654, 0.0000)  6 Fe 2.44-2.48, 3 Co 2.66-2.72, 2 Cd 2.72
Co (0.8654, 0.3654, 0.0000)  6 Fe 2.44-2.48, 3 Co 2.66-2.72, 2 Cd 2.72

Summary:
* calculated volume: 132.7 Å³/cell
* formation enthalpy at 0 K: 0.19 eV/atom
* electronic total energy: -6.2247 eV per atom
* space-group type: P4/mbm

=====

[6]
Computed, not measured: crystalline CsPO3 at its relaxed geometry at the GGA-PBE level of DFT.

abc: 4.6446 6.5688 13.6291
angles: 90.00 90.00 90.00
Last column: nearest neighbours and their distance in Å.
Element x y z (fractional)
Cs (0.2253, 0.2500, 0.0941)  6 O 3.07-3.27
Cs (0.2747, 0.7500, 0.5941)  6 O 3.07-3.27
Cs (0.7253, 0.2500, 0.4059)  6 O 3.07-3.27
Cs (0.7747, 0.7500, 0.9059)  6 O 3.07-3.27
P (0.1803, 0.7500, 0.3213)  4 O 1.50-1.64
P (0.3197, 0.2500, 0.8213)  4 O 1.50-1.64
P (0.6803, 0.7500, 0.1787)  4 O 1.50-1.64
P (0.8197, 0.2500, 0.6787)  4 O 1.50-1.64
O (0.1550, 0.2500, 0.7159)  2 P 1.63-1.64
O (0.2314, 0.5529, 0.3743)  1 P 1.50
O (0.2314, 0.9471, 0.3743)  1 P 1.50
O (0.2686, 0.0529, 0.8743)  1 P 1.50
O (0.2686, 0.4471, 0.8743)  1 P 1.50
O (0.3450, 0.7500, 0.2159)  2 P 1.63-1.64
O (0.6550, 0.2500, 0.7841)  2 P 1.63-1.64
O (0.7314, 0.5529, 0.1257)  1 P 1.50
O (0.7314, 0.9471, 0.1257)  1 P 1.50
O (0.7686, 0.0529, 0.6257)  1 P 1.50
O (0.7686, 0.4471, 0.6257)  1 P 1.50
O (0.8450, 0.7500, 0.2841)  2 P 1.63-1.64

Summary:
* calculated volume: 415.8 Å³/cell
* electronic total energy: -6.4886 eV per atom
* formation energy without anion corrections: -218.2 kJ/mol of atoms
* space-group type: Pnma

=====

[7]
Computed, not measured: crystalline Cs2HgPd at its relaxed geometry at the GGA-PBE level of DFT.

abc: 6.1643 6.1643 6.1643
angles: 60.00 60.00 60.00
Last column: nearest neighbours and their distance in Å.
Element x y z (fractional)
Cs (0.2500, 0.2500, 0.2500)  4 Hg 3.77, 4 Pd 3.77
Cs (0.7500, 0.7500, 0.7500)  4 Pd 3.77, 4 Hg 3.77
Hg (0.0000, 0.0000, 0.0000)  8 Cs 3.77
Pd (0.5000, 0.5000, 0.5000)  8 Cs 3.77

Summary:
* calculated volume: 165.6 Å³/cell
* formation enthalpy at 0 K: 0.02 eV/atom
* electronic total energy: -1.7843 eV per atom
* space-group type: Fm-3m

=====

[8]
Computed, not measured: crystalline TlIrSe2 at its relaxed geometry at the GGA-PBE level of DFT.

abc: 4.8398 4.8398 4.8398
angles: 60.00 60.00 60.00
Last column: nearest neighbours and their distance in Å.
Element x y z (fractional)
Tl (0.0000, 0.0000, 0.0000)  8 Se 2.96
Ir (0.5000, 0.5000, 0.5000)  8 Se 2.96
Se (0.2500, 0.2500, 0.2500)  4 Tl 2.96, 4 Ir 2.96
Se (0.7500, 0.7500, 0.7500)  4 Tl 2.96, 4 Ir 2.96

Summary:
* calculated volume: 80.2 Å³/cell
* electronic total energy: -3.9287 eV per atom
* formation energy without anion corrections: 59.9 kJ/mol of atoms
* space-group type: Fm-3m

=====

[9]
Computed, not measured: crystalline Ce2ErZrN5 at its relaxed geometry at the GGA-PBE level of DFT.

abc: 7.1289 7.1289 11.3002
angles: 90.00 90.00 150.98
Last column: nearest neighbours and their distance in Å.
Element x y z (fractional)
Ce (0.1315, 0.8685, 0.5000)  3 N 2.17-2.32
Ce (0.1351, 0.8649, 0.0294)  6 N 2.34-2.44
Ce (0.8649, 0.1351, 0.5294)  6 N 2.34-2.44
Ce (0.8685, 0.1315, 0.0000)  3 N 2.17-2.32
Er (0.2369, 0.7631, 0.7764)  6 N 2.29-2.50
Er (0.7631, 0.2369, 0.2764)  6 N 2.29-2.50
Zr (0.4902, 0.5098, 0.2708)  4 N 2.07-2.10
Zr (0.5098, 0.4902, 0.7708)  4 N 2.07-2.10
N (0.0719, 0.9281, 0.8278)  2 Zr 2.08
N (0.2776, 0.7224, 0.4301)  1 Ce 2.17
N (0.2854, 0.7146, 0.1357)  3 Ce 2.40-2.62, 2 Er 2.41
N (0.3838, 0.6162, 0.8700)  1 Zr 2.07, 1 Er 2.29
N (0.4596, 0.5404, 0.5956)  1 Zr 2.10, 2 Ce 2.34
N (0.5404, 0.4596, 0.0956)  1 Zr 2.10, 2 Ce 2.34
N (0.6162, 0.3838, 0.3700)  1 Zr 2.07, 1 Er 2.29
N (0.7146, 0.2854, 0.6357)  3 Ce 2.40-2.62, 2 Er 2.41
N (0.7224, 0.2776, 0.9301)  1 Ce 2.17
N (0.9281, 0.0719, 0.3278)  2 Zr 2.08

Summary:
* calculated volume: 278.6 Å³/cell
* electronic total energy: -8.8308 eV per atom
* formation energy without anion corrections: -138.0 kJ/mol of atoms
* space-group type: Cmc2_1

=====

[10]
Computed, not measured: crystalline LaGeC at its relaxed geometry at the GGA-PBE level of DFT.

abc: 4.0156 4.0590 7.9946
angles: 100.25 91.79 97.10
Last column: nearest neighbours and their distance in Å.
Element x y z (fractional)
La (0.2004, 0.4128, 0.2145)  4 C 2.66-2.93
La (0.7996, 0.5872, 0.7855)  4 C 2.66-2.93
Ge (0.2625, 0.0335, 0.5925)  2 Ge 2.46-2.49
Ge (0.7375, 0.9665, 0.4075)  2 Ge 2.46-2.49
C (0.3890, 0.8784, 0.0139)  1 C 1.30
C (0.6110, 0.1216, 0.9861)  1 C 1.30

Summary:
* calculated volume: 127.1 Å³/cell
* formation enthalpy at 0 K: -0.30 eV/atom
* electronic total energy: -6.5562 eV per atom
* space-group type: P-1

=====

[11]
Computed, not measured: crystalline CaTbAsS at its relaxed geometry at the GGA-PBE level of DFT.

abc: 7.1315 7.1315 7.1315
angles: 33.51 33.51 33.51
Last column: nearest neighbours and their distance in Å.
Element x y z (fractional)
Ca (0.0000, 0.0000, 0.0000)  3 S 2.94, 3 As 2.95
Tb (0.4985, 0.4985, 0.4985)  3 As 2.85, 3 S 2.89
As (0.7534, 0.7534, 0.7534)  3 Tb 2.85, 3 Ca 2.95
S (0.2473, 0.2473, 0.2473)  3 Tb 2.89, 3 Ca 2.94

Summary:
* calculated volume: 98.4 Å³/cell
* electronic total energy: -5.6117 eV per atom
* formation energy without anion corrections: -169.8 kJ/mol of atoms
* space-group type: R3m

=====

[12]
Computed, not measured: crystalline Ta2TlRh at its relaxed geometry at the GGA-PBE level of DFT.

abc: 5.1124 5.1124 5.1287
angles: 103.65 103.65 34.57
Last column: nearest neighbours and their distance in Å.
Element x y z (fractional)
Ta (0.0000, 0.0000, 0.0000)  2 Rh 2.68, 2 Ta 2.82, 2 Tl 2.95
Ta (0.7420, 0.7420, 0.2346)  5 Ta 2.82-3.05, 2 Rh 2.84, 3 Tl 2.94-3.08
Tl (0.5132, 0.5132, 0.5136)  7 Ta 2.94-3.08, 3 Rh 3.00, 2 Tl 3.04
Rh (0.2741, 0.2741, 0.7856)  4 Ta 2.68-2.84, 3 Tl 3.00

Summary:
* calculated volume: 73.7 Å³/cell
* formation enthalpy at 0 K: 0.15 eV/atom
* electronic total energy: -8.2017 eV per atom
* space-group type: Cm